A plane-wave DFT calculation with PBE was carried out for crystalline La5Si2Pb at its relaxed geometry.

mass density	6.5	Mg/m³
M_tot	0.82	μB per formula unit
ΔE_f (raw)	-608	meV per atom

Cell and atoms, written as POSCAR:
```
La5Si2Pb
1.0
-4.054 4.054 7.429
4.054 -4.054 7.429
4.054 4.054 -7.429
La Si Pb
10 4 2
Cartesian
0.000 0.000 0.000 La
5.464 1.410 -2.048 La
1.410 2.644 -2.048 La
5.464 1.410 2.048 La
1.410 2.644 2.048 La
0.000 0.000 7.429 La
2.644 1.410 5.381 La
-1.410 2.644 5.381 La
2.644 1.410 9.477 La
-1.410 2.644 9.477 La
3.107 0.947 0.000 Si
3.107 -0.947 7.429 Si
0.947 5.001 0.000 Si
0.947 3.107 7.429 Si
0.000 0.000 3.714 Pb
0.000 0.000 11.143 Pb
```